Entry 1:
First-principles (PBE-GGA) data for an optimized crystal structure of YHoTm2Mg2, as listed in OQMD.

## Properties
For the total energy, the calculation gives -3.91 eV/atom. As for the total magnetization: 0.0 μB per formula unit.

Lattice parameters (Å, degrees): 5.4348 3.6121 17.2260 90.00 90.00 90.00
Space group Amm2 (No. 38)
Inequivalent atoms, fractional coordinates:
Y 0.0000 0.0000 0.0000 (multiplicity 2)
Ho 0.5000 0.0000 0.1902 (multiplicity 2)
Tm 0.0000 0.0000 0.3204 (multiplicity 2)
Tm 0.5000 0.0000 0.8674 (multiplicity 2)
Mg 0.0000 0.0000 0.6598 (multiplicity 2)
Mg 0.5000 0.0000 0.5300 (multiplicity 2)

=====

Entry 2:
First-principles (PBE-GGA) data for an optimized crystal structure of Tm4B3C4, as listed in OQMD.

## Properties
For the total energy, the calculation gives -7.31 eV/atom. As for the total magnetization: 0.0 μB per formula unit.

Lattice parameters (Å, degrees): 3.4435 3.5393 11.7820 92.82 96.14 90.19
Space group P-1 (No. 2)
Inequivalent atoms, fractional coordinates:
Tm 0.1127 0.4448 0.1400 (multiplicity 2)
Tm 0.3062 0.0237 0.6503 (multiplicity 2)
B 0.2328 0.4937 0.4595 (multiplicity 2)
B 0.5000 0.0000 0.0000 (multiplicity 1)
C 0.1860 0.4728 0.3312 (multiplicity 2)
C 0.3887 0.0649 0.8789 (multiplicity 2)

=====

Entry 3:
First-principles (PBE-GGA) data for an optimized crystal structure of YAl2Ni, as listed in OQMD.

## Properties
For the total energy, the calculation gives -5.53 eV/atom. As for the total magnetization: 0.0 μB per formula unit.

Lattice parameters (Å, degrees): 4.0440 10.2931 6.8826 90.00 90.00 90.00
Space group Cmcm (No. 63)
Inequivalent atoms, fractional coordinates:
Y 0.0000 0.0596 0.2500 (multiplicity 4)
Al 0.0000 0.3411 0.0550 (multiplicity 8)
Ni 0.0000 0.2174 0.7500 (multiplicity 4)

=====

Please write out number 3 again, unchanged.
First-principles (PBE-GGA) data for an optimized crystal structure of YAl2Ni, as listed in OQMD.

## Properties
For the total energy, the calculation gives -5.53 eV/atom. As for the total magnetization: 0.0 μB per formula unit.

Lattice parameters (Å, degrees): 4.0440 10.2931 6.8826 90.00 90.00 90.00
Space group Cmcm (No. 63)
Inequivalent atoms, fractional coordinates:
Y 0.0000 0.0596 0.2500 (multiplicity 4)
Al 0.0000 0.3411 0.0550 (multiplicity 8)
Ni 0.0000 0.2174 0.7500 (multiplicity 4)

=====

> What is the formula in the third record?

YAl2Ni